{
  "formula": "AcTbPu",
  "functional": "GGA-PBE",
  "state": "relaxed",
  "lattice": [[-1.850, 1.850, 7.577], [1.850, -1.850, 7.577], [1.850, 1.850, -7.577]],
  "species": ["Ac", "Tb", "Pu"],
  "fractional_positions": [[0.000, 0.000, 0.000], [0.677, 0.677, 0.000], [0.329, 0.329, 0.000]],
  "de_polymorph_kj_per_mol_fu": 0,
  "spacegroup": "No. 107",
  "formation_enthalpy_0k_kj_per_mol_atoms": 17.1,
  "mass_density_kg_m3": 10082
}